The following is a GGA-PBE calculation of crystalline Ho2SnPb at its relaxed geometry, from Alexandria via LeMat-Bulk.

Results
As for the total energy: -0.1762 Ha/atom. The calculation puts the total moment at 0.00 μB per formula unit. The density of states at the Fermi level is 0.597 states/eV/atom. The value obtained for the formation energy is -0.577 eV/atom.

a = 6.1732 Å, b = 4.3682 Å, c = 8.8316 Å
α = 90.00°, β = 109.30°, γ = 90.00°
Last column: nearest neighbours and their distance in Å.
Space group P2_1/m (No. 11)
One atom of each set of equivalent atoms:
Ho  0.1888  0.2500  0.4311 x2  4 Pb 3.11-3.44, 3 Sn 3.13-3.45
Ho  0.2954  0.7500  0.0627 x2  4 Sn 3.11-3.48, 3 Pb 3.17-3.48
Sn  0.1070  0.2500  0.7986 x2  7 Ho 3.11-3.48, 2 Pb 3.15
Pb  0.4019  0.7500  0.6999 x2  7 Ho 3.11-3.48, 2 Sn 3.15

---

The following is a GGA-PBE calculation of crystalline Mn2RhBr at its relaxed geometry, from Alexandria via LeMat-Bulk.

Results
As for the total energy: -0.2325 Ha/atom. The calculation puts the total moment at 8.17 μB per formula unit. The density of states at the Fermi level is 0.790 states/eV/atom. The value obtained for the formation energy from raw total energies is 0.51 eV/atom.

a = 3.1529 Å, b = 4.4155 Å, c = 4.6564 Å
α = 90.00°, β = 90.00°, γ = 90.00°
Last column: nearest neighbours and their distance in Å.
Space group Pmmm (No. 47)
One atom of each set of equivalent atoms:
Mn  0.0000  0.0000  0.0000 x1  4 Br 2.71, 4 Mn 2.81
Mn  0.5000  0.0000  0.5000 x1  4 Rh 2.71, 4 Mn 2.81
Rh  0.0000  0.5000  0.5000 x1  4 Mn 2.71, 4 Br 2.81
Br  0.5000  0.5000  0.0000 x1  4 Mn 2.71, 4 Rh 2.81

---

The following is a GGA-PBE calculation of crystalline MnFeNiC at its relaxed geometry, from Alexandria via LeMat-Bulk.

Results
As for the total energy: -0.2937 Ha/atom. The calculation puts the total moment at 2.55 μB per formula unit. The density of states at the Fermi level is 1.098 states/eV/atom. The value obtained for the formation energy is 0.167 eV/atom.

a = 2.7611 Å, b = 3.9404 Å, c = 7.4869 Å
α = 90.00°, β = 90.00°, γ = 90.00°
Last column: nearest neighbours and their distance in Å.
Space group Amm2 (No. 38)
One atom of each set of equivalent atoms:
Mn  0.0000  0.0000  0.0000 x2  2 C 1.90
Fe  0.0000  0.0000  0.3389 x2  2 C 1.85
Ni  0.5000  0.0000  0.6726 x2  2 C 1.97
C  0.5000  0.0000  0.1743 x2  2 Fe 1.85, 2 Mn 1.90, 2 Ni 1.97

---

The following is a GGA-PBE calculation of crystalline InAsAu at its relaxed geometry, from Alexandria via LeMat-Bulk.

Results
As for the total energy: -0.1259 Ha/atom. The calculation puts the total moment at 0.00 μB per formula unit. The density of states at the Fermi level is 0.455 states/eV/atom. The value obtained for the formation energy is 0.128 eV/atom.

a = 2.8466 Å, b = 3.9209 Å, c = 11.5235 Å
α = 90.00°, β = 90.00°, γ = 90.00°
Last column: nearest neighbours and their distance in Å.
Space group Imm2 (No. 44)
One atom of each set of equivalent atoms:
In  0.0000  0.0000  0.0000 x2  2 In 2.85, 4 Au 3.09
As  0.0000  0.0000  0.3054 x2  2 As 2.85, 4 Au 2.91
Au  0.0000  0.0000  0.6658 x2  2 Au 2.85, 4 As 2.91, 4 In 3.09